1.
{
  "formula": "PAuSe2",
  "functional": "GGA-PBE",
  "state": "relaxed",
  "raw_formation_energy_ev_per_atom": 0.1845,
  "crystal_system": "monoclinic",
  "vol_a3_per_cell": 83.78,
  "cell": [[-3.328, 3.286, 2.794], [-2.011, -0.406, -1.917], [-1.875, -4.301, 2.826]],
  "species": ["P", "Se", "Au", "Se"],
  "frac_coords": [[0.500, 0.247, 0.847], [0.500, 0.252, 0.426], [0.000, 0.251, 0.358], [0.000, 0.250, 0.869]]
}

---

2.
{
  "formula": "PAuSe2",
  "functional": "GGA-PBE",
  "state": "relaxed",
  "raw_formation_energy_ev_per_atom": 0.1181,
  "crystal_system": "tetragonal",
  "vol_a3_per_cell": 83.35,
  "cell": [[3.857, 0.000, 0.000], [0.000, 3.857, 0.000], [0.000, 0.000, 5.602]],
  "species": ["Se", "Se", "Au", "P"],
  "frac_coords": [[0.500, 0.500, 0.318], [0.000, 0.000, 0.872], [0.000, 0.000, 0.399], [0.500, 0.500, 0.911]]
}

---

3.
{
  "formula": "PAuSe2",
  "functional": "GGA-PBE",
  "state": "relaxed",
  "raw_formation_energy_ev_per_atom": 0.1933,
  "crystal_system": "trigonal",
  "vol_a3_per_cell": 88.96,
  "cell": [[8.165, -1.781, 0.050], [8.165, 1.781, 0.050], [7.758, 0.000, 3.107]],
  "species": ["Au", "Se", "P", "Se"],
  "frac_coords": [[0.512, 0.512, 0.512], [0.971, 0.971, 0.971], [0.241, 0.241, 0.241], [0.777, 0.777, 0.777]]
}

---

4.
{
  "formula": "PAuSe2",
  "functional": "GGA-PBE",
  "state": "relaxed",
  "raw_formation_energy_ev_per_atom": 0.6719,
  "crystal_system": "cubic",
  "vol_a3_per_cell": 74.45,
  "cell": [[-1.853, 3.842, 2.025], [1.003, 4.286, -1.709], [-3.327, 2.483, -2.250]],
  "species": ["P", "Se", "Se", "Au"],
  "frac_coords": [[0.250, 0.250, 0.250], [0.000, 0.000, 0.000], [0.750, 0.750, 0.750], [0.500, 0.500, 0.500]]
}

---

5.
{
  "formula": "PAuSe2",
  "functional": "GGA-PBE",
  "state": "relaxed",
  "raw_formation_energy_ev_per_atom": 0.3233,
  "crystal_system": "orthorhombic",
  "vol_a3_per_cell": 86.43,
  "cell": [[-1.919, 2.014, 5.592], [1.919, -2.014, 5.592], [1.919, 2.014, -5.592]],
  "species": ["Au", "Se", "Se", "P"],
  "frac_coords": [[0.000, 0.500, 0.500], [0.335, 0.335, 0.000], [0.665, 0.665, 0.000], [0.500, 0.000, 0.500]]
}

---

6.
{
  "formula": "PAu2Se",
  "functional": "GGA-PBE",
  "state": "relaxed",
  "raw_formation_energy_ev_per_atom": 0.2363,
  "crystal_system": "monoclinic",
  "vol_a3_per_cell": 81.38,
  "cell": [[3.895, 0.000, 0.000], [0.000, 2.943, -0.004], [0.000, 0.022, 7.099]],
  "species": ["Au", "Au", "Se", "P"],
  "frac_coords": [[0.500, 0.248, 0.279], [0.000, 0.753, 0.031], [0.500, 0.753, 0.783], [0.000, 0.746, 0.407]]
}

---

7.
{
  "formula": "PAu2Se",
  "functional": "GGA-PBE",
  "state": "relaxed",
  "raw_formation_energy_ev_per_atom": 0.4811,
  "crystal_system": "monoclinic",
  "vol_a3_per_cell": 74.35,
  "cell": [[-5.679, -0.291, -0.143], [3.205, -4.696, 0.179], [-0.329, -0.466, 2.695]],
  "species": ["Se", "Au", "Au", "P"],
  "frac_coords": [[0.000, 0.000, 0.500], [0.000, 0.500, 0.000], [0.500, 0.000, 0.000], [0.500, 0.500, 0.500]]
}

---

8.
{
  "formula": "PAu2Se",
  "functional": "GGA-PBE",
  "state": "relaxed",
  "raw_formation_energy_ev_per_atom": 0.3088,
  "crystal_system": "orthorhombic",
  "vol_a3_per_cell": 78.15,
  "cell": [[1.820, 5.012, 4.028], [-3.131, 5.102, 2.970], [0.622, -6.500, -1.419]],
  "species": ["P", "Au", "Se", "Au"],
  "frac_coords": [[0.535, 0.535, 0.000], [0.304, 0.804, 0.500], [0.692, 0.192, 0.500], [0.969, 0.969, 0.000]]
}